SrBe2Sb, relaxed, DFT PBE-GGA; VASP energy = -2.60 eV/atom
1.0
3.161 -4.996 0.000
3.161 4.996 0.000
-1.590 0.000 2.848
Sr Be Sb
1 2 1
direct
0.000 0.000 0.000
0.000 0.500 0.500
0.500 0.000 0.500
0.500 0.500 0.000

=====

TlCoSbI2, relaxed, DFT PBE-GGA; polymorph energy (0 for the lowest one) = 0.0 meV per atom
1.0
5.696 0.000 0.000
0.000 5.696 0.000
0.000 0.000 4.754
Tl Co Sb I
1 1 1 2
direct
0.000 0.000 0.000
0.500 0.500 0.500
0.500 0.500 0.000
0.000 0.500 0.500
0.500 0.000 0.500

=====

VTeMo, relaxed, DFT PBE-GGA; VASP energy = -7.72 eV/atom
1.0
9.157 -2.141 0.000
9.157 2.141 0.000
-0.904 0.000 7.138
V Te Mo
4 4 4
direct
0.166 0.166 0.379
0.196 0.196 0.052
0.804 0.804 0.948
0.834 0.834 0.621
0.100 0.100 0.707
0.406 0.406 0.802
0.594 0.594 0.198
0.900 0.900 0.293
0.253 0.253 0.761
0.306 0.306 0.427
0.694 0.694 0.573
0.747 0.747 0.239

=====

ReAs2Au, relaxed, DFT PBE-GGA; polymorph energy (0 for the lowest one) = 128.2 meV per atom; calculated formation energy = 0.312 eV per atom
1.0
-1.463 2.406 5.900
1.463 -2.406 5.900
1.463 2.406 -5.900
Re As Au
1 2 1
direct
0.000 0.000 0.000
0.171 0.671 0.500
0.829 0.329 0.500
0.500 0.500 0.000

=====

TbMgTlPt, relaxed, DFT PBE-GGA; calculated formation energy = -0.602 eV per atom
1.0
0.000 3.515 3.515
3.515 0.000 3.515
3.515 3.515 0.000
Tb Mg Tl Pt
1 1 1 1
direct
0.000 0.000 0.000
0.500 0.500 0.500
0.750 0.750 0.750
0.250 0.250 0.250

=====

Li3Y2HfS6, relaxed, DFT PBE-GGA; VASP energy = -6.16 eV/atom
1.0
3.293 -5.705 0.000
3.293 5.705 0.000
-2.195 0.000 6.185
Li Y Hf S
3 2 1 6
direct
0.000 0.000 0.000
0.338 0.662 0.000
0.662 0.338 0.000
0.167 0.833 0.500
0.833 0.167 0.500
0.500 0.500 0.500
0.100 0.416 0.248
0.266 0.266 0.748
0.416 0.100 0.248
0.584 0.900 0.752
0.734 0.734 0.252
0.900 0.584 0.752

=====

Zr2CoTc, relaxed, DFT PBE-GGA; polymorph energy (0 for the lowest one) = 386.9 meV per atom; calculated formation energy = 0.013 eV per atom
1.0
1.598 0.922 7.993
-1.598 0.922 7.993
0.000 -1.845 7.993
Zr Co Tc
2 1 1
direct
0.246 0.246 0.246
0.754 0.754 0.754
0.500 0.500 0.500
0.000 0.000 0.000

=====

Pu2HfGa3, relaxed, DFT PBE-GGA; calculated formation energy = -0.345 eV per atom
1.0
5.830 0.000 0.000
-2.915 5.049 0.000
0.000 0.000 8.549
Pu Hf Ga
4 2 6
direct
0.333 0.667 0.074
0.333 0.667 0.426
0.667 0.333 0.574
0.667 0.333 0.926
0.000 0.000 0.000
0.000 0.000 0.500
0.180 0.360 0.750
0.180 0.820 0.750
0.360 0.180 0.250
0.640 0.820 0.750
0.820 0.180 0.250
0.820 0.640 0.250

=====

TbGdMgFe, relaxed, DFT PBE-GGA; calculated formation energy = 0.118 eV per atom
1.0
0.000 3.599 3.599
3.599 0.000 3.599
3.599 3.599 0.000
Tb Gd Mg Fe
1 1 1 1
direct
0.000 0.000 0.000
0.500 0.500 0.500
0.750 0.750 0.750
0.250 0.250 0.250

=====

For the records above, the corresponding magnetic moment values read 0.000, 0.000, 0.000, 0.000, 0.000, 0.000, 0.315, 10.878, 5.734 μB per formula unit.
For the records above, the corresponding calculated volume values read 22.485, 30.847, 23.325, 20.767, 21.715, 19.365, 17.665, 20.969, 23.317 A^3/atom.